Here is an optimized crystal structure of K7NbAs4 from OQMD via LeMat-Bulk. Energies are from GGA-PBE.

Computed properties:
total magnetic moment	0.0000	μB/atom
uncorrected energy	-0.2576	Ry per atom

abc: 10.302 9.255 8.375
angles: 90.00 90.00 90.00
Space group Pmn2_1 (No. 31)
Unique sites:
K (0.000, 0.035, 0.000)
K (0.000, 0.342, 0.211)
K (0.000, 0.899, 0.479)
K (0.211, 0.536, 0.499)
K (0.215, 0.168, 0.664)
Nb (0.000, 0.677, 0.872)
As (0.000, 0.413, 0.793)
As (0.000, 0.685, 0.172)
As (0.204, 0.810, 0.777)



Here is an optimized crystal structure of K3NbAs2O9 from OQMD via LeMat-Bulk. Energies are from GGA-PBE.

Computed properties:
total magnetic moment	0.0000	μB/atom
uncorrected energy	-0.4646	Ry per atom

abc: 22.239 5.440 7.834
angles: 90.00 90.00 90.00
Space group Pnma (No. 62)
Unique sites:
K (0.035, 0.250, 0.115)
K (0.104, 0.750, 0.342)
K (0.203, 0.250, 0.531)
Nb (0.143, 0.750, 0.812)
As (0.056, 0.250, 0.636)
As (0.209, 0.250, 0.049)
O (0.006, 0.250, 0.796)
O (0.032, 0.250, 0.433)
O (0.091, 0.750, 0.982)
O (0.107, 0.005, 0.657)
O (0.158, 0.250, 0.209)
O (0.201, 0.003, 0.910)
O (0.217, 0.750, 0.599)



Here is an optimized crystal structure of KNbAs2O6 from OQMD via LeMat-Bulk. Energies are from GGA-PBE.

Computed properties:
total magnetic moment	0.0003	μB/atom
uncorrected energy	-0.4863	Ry per atom

abc: 12.561 5.322 8.903
angles: 90.00 108.92 90.00
Space group C2/m (No. 12)
Unique sites:
K (0.121, 0.000, 0.473)
Nb (0.177, 0.500, 0.732)
As (0.101, 0.500, 0.168)
As (0.103, 0.000, 0.887)
O (0.000, 0.265, 0.000)
O (0.058, 0.240, 0.732)
O (0.173, 0.500, 0.529)
O (0.214, 0.262, 0.167)



Here is an optimized crystal structure of K8NbAs5Pb from OQMD via LeMat-Bulk. Energies are from GGA-PBE.

Computed properties:
total magnetic moment	0.0001	μB/atom
uncorrected energy	-0.2594	Ry per atom

abc: 32.055 9.456 13.614
angles: 90.00 95.22 90.00
Space group C2/c (No. 15)
Unique sites:
K (0.020, 0.119, 0.393)
K (0.041, 0.474, 0.118)
K (0.064, 0.171, 0.711)
K (0.115, 0.458, 0.898)
K (0.149, 0.172, 0.458)
K (0.177, 0.037, 0.717)
K (0.224, 0.344, 0.831)
K (0.234, 0.456, 0.555)
Nb (0.157, 0.340, 0.182)
As (0.028, 0.258, 0.922)
As (0.093, 0.207, 0.238)
As (0.141, 0.403, 0.651)
As (0.176, 0.207, 0.028)
As (0.215, 0.314, 0.314)
Pb (0.090, 0.115, 0.036)